# SbS4N3 GGA-PBE relaxed
data_SbS4N3
_cell_length_a 5.0658
_cell_length_b 5.9429
_cell_length_c 6.9170
_cell_angle_alpha 103.30
_cell_angle_beta 106.21
_cell_angle_gamma 107.61
_symmetry_space_group_name_H-M 'P 1'
_symmetry_Int_Tables_number 1
loop_
_symmetry_equiv_pos_as_xyz
'x,y,z'
loop_
_atom_site_label
_atom_site_fract_x
_atom_site_fract_y
_atom_site_fract_z
Sb1 0.0000 0.0000 0.0000
S1 0.0126 0.6729 0.2530
S2 0.2598 0.6847 0.7299
S3 0.6051 0.5577 0.7847
S4 0.6450 0.9993 0.4978
N1 0.3216 0.8111 0.4775
N2 0.3477 0.9078 0.9331
N3 0.9010 0.0944 0.7128
# ΔE_f (raw) (eV per formula unit): 4.18
# Distance to the lowest polymorph of the same formula (eV per atom): 0.0847


# TeHPd2 GGA-PBE relaxed
data_TeHPd2
_cell_length_a 5.1330
_cell_length_b 5.1330
_cell_length_c 9.8026
_cell_angle_alpha 90.00
_cell_angle_beta 90.00
_cell_angle_gamma 90.00
_symmetry_space_group_name_H-M 'I -4 2 d'
_symmetry_Int_Tables_number 122
_symmetry_space_group_name_Hall 'I -4 2bw'
loop_
_atom_site_label
_atom_site_fract_x
_atom_site_fract_y
_atom_site_fract_z
Te1 0.0000 0.0000 0.0000
H1 0.0000 0.0000 0.5000
Pd1 0.1173 0.2500 0.6250
# Distance to the lowest polymorph of the same formula (eV per atom): 0.0456


# AlCo4Cu GGA-PBE relaxed
data_AlCo4Cu
_cell_length_a 6.6208
_cell_length_b 6.6208
_cell_length_c 6.6208
_cell_angle_alpha 90.00
_cell_angle_beta 90.00
_cell_angle_gamma 90.00
_symmetry_space_group_name_H-M 'F -4 3 m'
_symmetry_Int_Tables_number 216
_symmetry_space_group_name_Hall 'F -4 2 3'
loop_
_atom_site_label
_atom_site_fract_x
_atom_site_fract_y
_atom_site_fract_z
Al1 0.0000 0.0000 0.0000
Co1 0.1250 0.1250 0.6250
Cu1 0.2500 0.2500 0.2500
# E_tot (eV/atom): -5.993


# CdHg2As2 GGA-PBE relaxed
data_CdHg2As2
_cell_length_a 6.9500
_cell_length_b 6.9500
_cell_length_c 5.5680
_cell_angle_alpha 90.00
_cell_angle_beta 90.00
_cell_angle_gamma 90.00
_symmetry_space_group_name_H-M 'P 4/m b m'
_symmetry_Int_Tables_number 127
_symmetry_space_group_name_Hall '-P 4 2ab'
loop_
_atom_site_label
_atom_site_fract_x
_atom_site_fract_y
_atom_site_fract_z
Cd1 0.0000 0.0000 0.0000
Hg1 0.1598 0.3402 0.5000
As1 0.1268 0.3732 0.0000
# Distance to the lowest polymorph of the same formula (eV per atom): 0.0000


# Ac2Pm6Si3 GGA-PBE relaxed
data_Ac2Pm6Si3
_cell_length_a 9.0120
_cell_length_b 9.0120
_cell_length_c 5.0034
_cell_angle_alpha 90.00
_cell_angle_beta 90.00
_cell_angle_gamma 120.00
_symmetry_space_group_name_H-M 'P -6 2 m'
_symmetry_Int_Tables_number 189
_symmetry_space_group_name_Hall 'P -6 -2'
loop_
_atom_site_label
_atom_site_fract_x
_atom_site_fract_y
_atom_site_fract_z
Ac1 0.3333 0.6667 0.0000
Pm1 0.0000 0.2809 0.5000
Pm2 0.0000 0.7701 0.0000
Si1 0.0000 0.6074 0.5000
# ΔE_f (raw) (eV per formula unit): -2.12


# Ce2Si7Tc12 GGA-PBE relaxed
data_Ce2Si7Tc12
_cell_length_a 9.6232
_cell_length_b 9.6232
_cell_length_c 4.1119
_cell_angle_alpha 90.00
_cell_angle_beta 90.00
_cell_angle_gamma 120.00
_symmetry_space_group_name_H-M 'P -6'
_symmetry_Int_Tables_number 174
loop_
_symmetry_equiv_pos_as_xyz
'x,y,z'
'-x+y,-x,-z'
'-y,x-y,z'
'x,y,-z'
'-x+y,-x,z'
'-y,x-y,-z'
loop_
_atom_site_label
_atom_site_fract_x
_atom_site_fract_y
_atom_site_fract_z
Ce1 0.0000 0.0000 0.0000
Ce2 0.3333 0.6667 0.5000
Si1 0.0547 0.4778 0.0000
Si2 0.2681 0.2041 0.5000
Si3 0.6667 0.3333 0.0000
Tc1 0.0733 0.3113 0.5000
Tc2 0.1147 0.7570 0.0000
Tc3 0.3816 0.1736 0.0000
Tc4 0.5526 0.4308 0.5000
# ΔE_f (raw) (eV per formula unit): -8.97


# SnMo3 GGA-PBE relaxed
data_SnMo3
_cell_length_a 3.3098
_cell_length_b 4.7149
_cell_length_c 8.8689
_cell_angle_alpha 90.00
_cell_angle_beta 90.00
_cell_angle_gamma 90.00
_symmetry_space_group_name_H-M 'C m m m'
_symmetry_Int_Tables_number 65
_symmetry_space_group_name_Hall '-C 2 2'
loop_
_atom_site_label
_atom_site_fract_x
_atom_site_fract_y
_atom_site_fract_z
Sn1 0.0000 0.0000 0.0000
Mo1 0.0000 0.0000 0.5000
Mo2 0.0000 0.5000 0.2628
# Distance to the lowest polymorph of the same formula (eV per atom): 0.2344


# Ba2CoCu GGA-PBE relaxed
data_Ba2CoCu
_cell_length_a 7.5030
_cell_length_b 7.5030
_cell_length_c 7.5030
_cell_angle_alpha 90.00
_cell_angle_beta 90.00
_cell_angle_gamma 90.00
_symmetry_space_group_name_H-M 'F -4 3 m'
_symmetry_Int_Tables_number 216
_symmetry_space_group_name_Hall 'F -4 2 3'
loop_
_atom_site_label
_atom_site_fract_x
_atom_site_fract_y
_atom_site_fract_z
Ba1 0.0000 0.0000 0.0000
Ba2 0.2500 0.2500 0.2500
Co1 0.2500 0.2500 0.7500
Cu1 0.0000 0.0000 0.5000
# Distance to the lowest polymorph of the same formula (eV per atom): 0.4075


# Na3In3IrO8 GGA-PBE relaxed
data_Na3In3IrO8
_cell_length_a 6.5312
_cell_length_b 6.5312
_cell_length_c 16.5462
_cell_angle_alpha 90.00
_cell_angle_beta 90.00
_cell_angle_gamma 120.00
_symmetry_space_group_name_H-M 'R -3 m'
_symmetry_Int_Tables_number 166
_symmetry_space_group_name_Hall '-R 3 2"'
loop_
_atom_site_label
_atom_site_fract_x
_atom_site_fract_y
_atom_site_fract_z
Na1 0.0000 0.5000 0.0000
In1 0.0000 0.5000 0.5000
Ir1 0.0000 0.0000 0.5000
O1 0.0000 0.0000 0.2379
O2 0.0262 0.5131 0.2322
# ΔE_f (raw) (eV per formula unit): -21.66


# FeHg2Cl GGA-PBE relaxed
data_FeHg2Cl
_cell_length_a 3.1901
_cell_length_b 3.1901
_cell_length_c 7.9767
_cell_angle_alpha 90.00
_cell_angle_beta 90.00
_cell_angle_gamma 90.00
_symmetry_space_group_name_H-M 'P 4/m m m'
_symmetry_Int_Tables_number 123
_symmetry_space_group_name_Hall '-P 4 2'
loop_
_atom_site_label
_atom_site_fract_x
_atom_site_fract_y
_atom_site_fract_z
Fe1 0.0000 0.0000 0.0000
Hg1 0.5000 0.5000 0.2254
Cl1 0.0000 0.0000 0.5000
# ΔE_f (raw) (eV per formula unit): 0.92
# Distance to the lowest polymorph of the same formula (eV per atom): 0.2649


# BaIn3Hg2 GGA-PBE relaxed
data_BaIn3Hg2
_cell_length_a 6.3845
_cell_length_b 6.3845
_cell_length_c 5.1003
_cell_angle_alpha 90.00
_cell_angle_beta 90.00
_cell_angle_gamma 120.00
_symmetry_space_group_name_H-M 'P 6/m m m'
_symmetry_Int_Tables_number 191
_symmetry_space_group_name_Hall '-P 6 2'
loop_
_atom_site_label
_atom_site_fract_x
_atom_site_fract_y
_atom_site_fract_z
Ba1 0.0000 0.0000 0.0000
In1 0.0000 0.5000 0.5000
Hg1 0.3333 0.6667 0.0000
# Distance to the lowest polymorph of the same formula (eV per atom): 0.0158


# TbCd4Cu2 GGA-PBE relaxed
data_TbCd4Cu2
_cell_length_a 4.2602
_cell_length_b 16.2181
_cell_length_c 4.1931
_cell_angle_alpha 90.00
_cell_angle_beta 90.00
_cell_angle_gamma 90.00
_symmetry_space_group_name_H-M 'C m m m'
_symmetry_Int_Tables_number 65
_symmetry_space_group_name_Hall '-C 2 2'
loop_
_atom_site_label
_atom_site_fract_x
_atom_site_fract_y
_atom_site_fract_z
Tb1 0.0000 0.0000 0.0000
Cd1 0.0000 0.1747 0.5000
Cd2 0.0000 0.3228 0.0000
Cu1 0.0000 0.4282 0.5000
# E_tot (eV/atom): -2.480